ErPa: optimized geometry, GGA-PBE.

Summary:
Final energy ... -6.8832 eV/atom
Magnetization ... 0.000 Bohr magnetons per cell
Space group ... Pmmn (59)
Calculated formation energy ... 0.146 eV per atom

Structure (CIF):
```
data_ErPa
_space_group_name_H-M_alt 'P 1'
_space_group_IT_number 1
_space_group_name_Hall 'P 1'
_cell_length_a 3.342
_cell_length_b 4.704
_cell_length_c 6.947
_cell_angle_alpha 90.00
_cell_angle_beta 90.03
_cell_angle_gamma 90.00
loop_
_atom_site_label
_atom_site_fract_x
_atom_site_fract_y
_atom_site_fract_z
Pa1 0.750 0.750 0.888
Pa2 0.250 0.250 0.112
Er1 0.250 0.250 0.629
Er2 0.750 0.750 0.371
```

---

YReRh2: optimized geometry, GGA-PBE.

Summary:
Final energy ... -8.0291 eV/atom
Magnetization ... 0.000 Bohr magnetons per cell
Space group ... I-42d (122)
Calculated formation energy ... 0.375 eV per atom

Structure (CIF):
```
data_YReRh2
_space_group_name_H-M_alt 'P 1'
_space_group_IT_number 1
_space_group_name_Hall 'P 1'
_cell_length_a 4.375
_cell_length_b 4.375
_cell_length_c 8.989
_cell_angle_alpha 75.91
_cell_angle_beta 75.91
_cell_angle_gamma 90.00
loop_
_atom_site_label
_atom_site_fract_x
_atom_site_fract_y
_atom_site_fract_z
Y1 0.500 0.500 0.000
Y2 0.250 0.750 0.500
Re1 0.000 0.000 0.000
Re2 0.750 0.250 0.500
Rh1 0.686 0.125 0.250
Rh2 0.064 0.625 0.250
Rh3 0.375 0.314 0.750
Rh4 0.875 0.936 0.750
```

---

Ac3InHg2Pd9: optimized geometry, GGA-PBE.

Summary:
Final energy ... -4.4974 eV/atom
Magnetization ... 0.000 Bohr magnetons per cell
Space group ... P-3m1 (164)
Calculated formation energy ... -0.337 eV per atom

Structure (CIF):
```
data_Ac3InHg2Pd9
_space_group_name_H-M_alt 'P 1'
_space_group_IT_number 1
_space_group_name_Hall 'P 1'
_cell_length_a 6.910
_cell_length_b 6.910
_cell_length_c 9.643
_cell_angle_alpha 90.00
_cell_angle_beta 90.00
_cell_angle_gamma 120.00
loop_
_atom_site_label
_atom_site_fract_x
_atom_site_fract_y
_atom_site_fract_z
Ac1 0.333 0.667 0.747
Ac2 0.000 0.000 0.000
Ac3 0.667 0.333 0.253
In1 0.000 0.000 0.500
Hg1 0.333 0.667 0.189
Hg2 0.667 0.333 0.811
Pd1 0.871 0.129 0.727
Pd2 0.871 0.741 0.727
Pd3 0.259 0.129 0.727
Pd4 0.741 0.871 0.273
Pd5 0.129 0.259 0.273
Pd6 0.129 0.871 0.273
Pd7 0.500 0.000 0.000
Pd8 0.000 0.500 0.000
Pd9 0.500 0.500 0.000
```

---

BaGe2Pt: optimized geometry, GGA-PBE.

Summary:
Final energy ... -4.8633 eV/atom
Magnetization ... 0.000 Bohr magnetons per cell
Space group ... Pnma (62)
Calculated formation energy ... -0.564 eV per atom

Structure (CIF):
```
data_BaGe2Pt
_space_group_name_H-M_alt 'P 1'
_space_group_IT_number 1
_space_group_name_Hall 'P 1'
_cell_length_a 6.537
_cell_length_b 6.808
_cell_length_c 8.435
_cell_angle_alpha 90.00
_cell_angle_beta 90.00
_cell_angle_gamma 90.00
loop_
_atom_site_label
_atom_site_fract_x
_atom_site_fract_y
_atom_site_fract_z
Ba1 0.377 0.250 0.038
Ba2 0.877 0.750 0.462
Ba3 0.623 0.750 0.962
Ba4 0.123 0.250 0.538
Ge1 0.904 0.068 0.163
Ge2 0.404 0.932 0.337
Ge3 0.096 0.568 0.837
Ge4 0.596 0.432 0.663
Ge5 0.096 0.932 0.837
Ge6 0.596 0.068 0.663
Ge7 0.904 0.432 0.163
Ge8 0.404 0.568 0.337
Pt1 0.644 0.250 0.386
Pt2 0.144 0.750 0.114
Pt3 0.356 0.750 0.614
Pt4 0.856 0.250 0.886
```

---

ScSbRu2: optimized geometry, GGA-PBE.

Summary:
Final energy ... -7.0975 eV/atom
Magnetization ... 0.001 Bohr magnetons per cell
Raw formation energy ... 0.1539 eV/atom
Space group ... R3m (160)

Structure (CIF):
```
data_ScSbRu2
_space_group_name_H-M_alt 'P 1'
_space_group_IT_number 1
_space_group_name_Hall 'P 1'
_cell_length_a 8.654
_cell_length_b 8.654
_cell_length_c 8.654
_cell_angle_alpha 21.15
_cell_angle_beta 21.15
_cell_angle_gamma 21.15
loop_
_atom_site_label
_atom_site_fract_x
_atom_site_fract_y
_atom_site_fract_z
Ru1 0.000 0.000 0.000
Ru2 0.252 0.252 0.252
Sb1 0.509 0.509 0.509
Sc1 0.739 0.739 0.739
```

---

Li2AsH: optimized geometry, GGA-PBE.

Summary:
Final energy ... -2.9329 eV/atom
Magnetization ... 0.000 Bohr magnetons per cell
Space group ... Fm-3m (225)

Structure (CIF):
```
data_Li2AsH
_space_group_name_H-M_alt 'P 1'
_space_group_IT_number 1
_space_group_name_Hall 'P 1'
_cell_length_a 4.200
_cell_length_b 4.200
_cell_length_c 4.200
_cell_angle_alpha 60.00
_cell_angle_beta 60.00
_cell_angle_gamma 60.00
loop_
_atom_site_label
_atom_site_fract_x
_atom_site_fract_y
_atom_site_fract_z
H1 0.000 0.000 0.000
As1 0.500 0.500 0.500
Li1 0.250 0.250 0.250
Li2 0.750 0.750 0.750
```

---

NaPr2Re2N6: optimized geometry, GGA-PBE.

Summary:
Final energy ... -8.3292 eV/atom
Magnetization ... 0.000 Bohr magnetons per cell
Raw formation energy ... -0.5359 eV/atom
Space group ... P-1 (2)

Structure (CIF):
```
data_NaPr2Re2N6
_space_group_name_H-M_alt 'P 1'
_space_group_IT_number 1
_space_group_name_Hall 'P 1'
_cell_length_a 6.610
_cell_length_b 6.134
_cell_length_c 6.652
_cell_angle_alpha 112.54
_cell_angle_beta 80.74
_cell_angle_gamma 65.39
loop_
_atom_site_label
_atom_site_fract_x
_atom_site_fract_y
_atom_site_fract_z
Na1 0.500 0.000 0.500
Pr1 0.833 0.371 0.770
Pr2 0.167 0.629 0.230
Re1 0.185 0.780 0.816
Re2 0.815 0.220 0.184
N1 0.404 0.747 0.948
N2 0.872 0.497 0.245
N3 0.198 0.879 0.585
N4 0.128 0.503 0.755
N5 0.802 0.121 0.415
N6 0.596 0.253 0.052
```

---

Ac2Ga3Ge5: optimized geometry, GGA-PBE.

Summary:
Final energy ... -4.3848 eV/atom
Magnetization ... 0.000 Bohr magnetons per cell
Space group ... Ibam (72)
Calculated formation energy ... -0.346 eV per atom

Structure (CIF):
```
data_Ac2Ga3Ge5
_space_group_name_H-M_alt 'P 1'
_space_group_IT_number 1
_space_group_name_Hall 'P 1'
_cell_length_a 6.912
_cell_length_b 9.149
_cell_length_c 9.149
_cell_angle_alpha 61.74
_cell_angle_beta 67.81
_cell_angle_gamma 67.81
loop_
_atom_site_label
_atom_site_fract_x
_atom_site_fract_y
_atom_site_fract_z
Ac1 0.127 0.624 0.122
Ac2 0.627 0.122 0.624
Ac3 0.873 0.376 0.878
Ac4 0.373 0.878 0.376
Ga1 0.376 0.512 0.737
Ga2 0.876 0.737 0.512
Ga3 0.624 0.488 0.263
Ga4 0.124 0.263 0.488
Ga5 0.250 0.000 0.000
Ga6 0.750 0.000 0.000
Ge1 0.379 0.235 0.006
Ge2 0.879 0.006 0.235
Ge3 0.621 0.765 0.994
Ge4 0.121 0.994 0.765
Ge5 0.500 0.750 0.750
Ge6 0.500 0.250 0.250
Ge7 0.750 0.500 0.500
Ge8 0.250 0.500 0.500
Ge9 0.000 0.250 0.250
Ge10 0.000 0.750 0.750
```